Entry from Alexandria via LeMat-Bulk: an optimized crystal structure of TbNdTe3 (PBE).

The structure in CIF format:
```
data_TbNdTe3
_symmetry_space_group_name_H-M 'P n m a'
_symmetry_Int_Tables_number 62
_cell_length_a 8.3074
_cell_length_b 4.4161
_cell_length_c 17.4492
_cell_angle_alpha 90.00
_cell_angle_beta 90.00
_cell_angle_gamma 90.00
loop_
_symmetry_equiv_pos_as_xyz
'x,y,z'
'-x,-y,-z'
'-x+1/2,-y,z+1/2'
'x+1/2,y,-z+1/2'
'x+1/2,-y+1/2,-z+1/2'
'-x+1/2,y+1/2,z+1/2'
'-x,y+1/2,-z'
'x,-y+1/2,z'
loop_
_atom_site_label
_atom_site_fract_x
_atom_site_fract_y
_atom_site_fract_z
Tb1 0.2282 0.2500 0.0417
Nd1 0.1349 0.7500 0.2993
Te1 0.0038 0.7500 0.1072
Te2 0.1176 0.2500 0.4362
Te3 0.1559 0.7500 0.7149
```

Output
As for the uncorrected formation energy: -1.42 eV/atom. The value obtained for the total energy is -103.8 eV for the cell shown. The density comes out at 7.12 Mg/m³.